! LaTbIrI, optimized geometry, DFT PBE-GGA; values from VASP
&SYSTEM
  ibrav = 0, nat = 4, ntyp = 4
/
ATOMIC_SPECIES
La 138.91 La.upf
Tb 158.93 Tb.upf
Ir 192.22 Ir.upf
I 126.90 I.upf
ATOMIC_POSITIONS crystal
La 0.000 0.000 0.000
Tb 0.788 0.788 0.788
Ir 0.396 0.396 0.396
I 0.222 0.222 0.222
CELL_PARAMETERS angstrom
2.091 1.207 8.139
-2.091 1.207 8.139
0.000 -2.414 8.139
! Total DFT energy (no corrections)   -6.018 eV per atom
! Volume   123 Å³/f.u.
! Size of the total moment   0.000 μB/cell